VASP calculation (PBE with a Hubbard U) on crystalline LiCrP2O at its relaxed geometry.

Cell lengths 4.4915, 4.4915, 3.3309 Å; angles 90.00, 90.00, 90.00 degrees
Closest atoms and distances in Å follow each position.
Sites, in units of the cell vectors:
Li 0.0000 0.0000 0.0000  2 O 1.67
Cr 0.5000 0.5000 0.5000  8 P 2.80
P 0.0000 0.5000 0.0000  2 Li 2.25
P 0.5000 0.0000 0.0000  2 Li 2.25
O 0.0000 0.0000 0.5000  2 Li 1.67

Properties
- Uncorrected energy: -4.19 eV/atom